Crystalline AcLaZnHg at its relaxed geometry, computed with GGA-PBE.

```
AcLaZnHg
1.0
5.5374 0.0000 0.0000
2.7687 4.7955 0.0000
2.7687 1.5985 4.5213
La Zn Ac Hg
1 1 1 1
Cartesian
2.7687 1.5985 1.1303
0.0000 0.0000 0.0000
8.3061 4.7955 3.3910
5.5374 3.1970 2.2606
```

**Distance to the lowest polymorph of the same formula**: 2.0 kJ per mole of atoms
**Space group**: F-43m
**Formation energy from the elements**: -0.37 eV/atom
**N(E_F)**: 4.5 states/eV/f.u.
**Calculated volume**: 30.02 Å³/atom
**Spin magnetization**: 0.007 μB/atom


Crystalline LiAc2Hg6 at its relaxed geometry, computed with GGA-PBE.

```
LiAc2Hg6
1.0
5.6379 0.1697 0.0982
0.2687 7.1402 0.1664
0.2687 3.7016 6.1080
Hg Ac Li
6 2 1
Cartesian
2.0341 5.5875 5.2621
4.1957 2.1645 1.2526
4.1413 5.4239 1.1104
2.0341 7.3463 2.2230
4.1413 3.6651 4.1496
1.9797 8.8469 5.1199
1.2961 3.7375 2.1630
4.8792 7.2739 4.2096
0.0000 0.0000 0.0000
```

**Distance to the lowest polymorph of the same formula**: 0.0 kJ per mole of atoms
**Space group**: C2/m
**Formation energy from the elements**: -0.41 eV/atom
**N(E_F)**: 5.1 states/eV/f.u.
**Calculated volume**: 26.89 Å³/atom
**Spin magnetization**: 0.000 μB/atom


Crystalline LiAcHg3 at its relaxed geometry, computed with GGA-PBE.

```
LiAcHg3
1.0
-4.2768 0.8172 5.6079
-2.1111 -3.9151 -5.5338
4.6854 -9.5424 4.9638
Ac Hg Li
4 12 4
Cartesian
0.0000 0.0000 0.0000
-0.0409 -7.9170 5.6169
2.3427 -4.7712 2.4819
-1.6616 -4.7233 -0.5789
-1.3224 -9.9229 2.9704
-3.9801 -4.4633 2.1093
-2.1384 0.4086 2.8039
-0.8513 -6.3202 2.5190
-2.7904 -2.2568 5.2280
-3.1939 -1.5490 0.0371
-1.0555 -1.9576 -2.7669
-0.3801 -2.7174 2.0676
2.2776 -8.1770 2.9286
1.0879 -10.3835 -0.1901
1.2871 -6.7288 -0.2850
0.2043 -4.3626 5.2859
-2.9162 -2.0610 2.5707
1.2137 -10.5793 2.4673
-1.8509 -4.2307 3.6993
0.1484 -8.4097 1.3387
```

**Distance to the lowest polymorph of the same formula**: 1.5 kJ per mole of atoms
**Space group**: P6_3/mmc
**Formation energy from the elements**: -0.38 eV/atom
**N(E_F)**: 3.7 states/eV/f.u.
**Calculated volume**: 25.61 Å³/atom
**Spin magnetization**: 0.000 μB/atom


Crystalline Li5AcHg2 at its relaxed geometry, computed with GGA-PBE.

```
Li5AcHg2
1.0
-2.6427 -0.9268 3.1805
-1.9008 -6.7941 -0.7360
3.6618 -3.7628 4.7694
Li Hg Ac
5 2 1
Cartesian
-2.1518 -4.7969 2.4607
-0.1044 -3.6812 4.4870
1.2701 -6.6868 4.7532
-0.7773 -7.8025 2.7269
0.8805 -5.2785 2.0167
-0.2455 -2.8161 1.7986
-0.6362 -8.6677 5.4153
0.0000 0.0000 0.0000
```

**Space group**: Immm
**Formation energy from the elements**: -0.23 eV/atom
**N(E_F)**: 4.9 states/eV/f.u.
**Calculated volume**: 23.62 Å³/atom
**Spin magnetization**: 0.000 μB/atom